Material: LaDy2H8
Method: DFT, PBE-GGA
State: relaxed

Unit cell a=3.7102 b=5.3471 c=6.4650 alpha=114.43 beta=106.67 gamma=90.00
Element x y z (fractional)
H (0.3325, 0.1021, 0.6651)
H (0.0000, 0.2914, 0.0000)
H (0.6675, 0.4371, 0.3349)
H (0.3325, 0.5629, 0.6651)
H (0.6675, 0.8979, 0.3349)
H (0.1566, 0.1566, 0.3133)
H (0.8434, 0.8434, 0.6867)
H (0.0000, 0.7086, 0.0000)
Dy (0.1709, 0.6709, 0.3417)
Dy (0.8291, 0.3291, 0.6582)
La (0.5000, 0.0000, 0.0000)

For the density of states at the Fermi level, the calculation gives 0.1280 states/eV per atom. The calculated total energy comes out at -47.8 eV/f.u.

Material: LaDyH2
Method: DFT, PBE-GGA
State: relaxed

Unit cell a=3.5834 b=3.5834 c=6.2404 alpha=73.31 beta=73.31 gamma=60.00
Element x y z (fractional)
H (0.7420, 0.7420, 0.7740)
H (0.2580, 0.2580, 0.2260)
Dy (0.0000, 0.0000, 0.0000)
La (0.5000, 0.5000, 0.5000)

For the density of states at the Fermi level, the calculation gives 0.5604 states/eV per atom. The value obtained for the polymorph energy (0 for the lowest one) is 0.000 eV/atom. The calculated total energy comes out at -17.8 eV/f.u.

Q: What is the density of states at the Fermi level in the second record?
A: 0.5604 states/eV per atom

Q: Among the records above, which one has the highest calculated total energy?
A: LaDyH2

Q: What is the formula in the second record?
A: LaDyH2